A relaxed SrPmAg4 crystal, computed with PBE.

The structure in POSCAR format:
```
SrPmAg4
1.0
3.775 0.000 0.000
0.000 4.902 0.000
0.000 0.000 8.209
Sr Pm Ag
1 1 4
Direct
0.000 0.000 0.000
0.000 0.500 0.500
0.500 0.000 0.335
0.500 0.000 0.665
0.500 0.500 0.174
0.500 0.500 0.826
```

energy above the lowest structure with this stoichiometry: 0.0 meV/atom
energy of formation: -0.2769 eV per atom
density of states at the Fermi level: 0.54 states/eV/atom
SG: Pmmm (47)
total DFT energy (no corrections): -19.50 eV per cell